Below is a geometry-optimized TbDyZr2 structure, with properties calculated at the PBE-GGA level.

Energy relative to the lowest polymorph listed for this composition in eV/atom: 0.011
Total moment in μB per formula unit: 0.0

Geometry as CIF:
```
data_TbDyZr2
_cell_length_a 4.6899
_cell_length_b 4.6899
_cell_length_c 4.8473
_cell_angle_alpha 90.00
_cell_angle_beta 90.00
_cell_angle_gamma 90.00
_symmetry_space_group_name_H-M 'P 4/m m m'
_symmetry_Int_Tables_number 123
_symmetry_space_group_name_Hall '-P 4 2'
loop_
_atom_site_label
_atom_site_type_symbol
_atom_site_fract_x
_atom_site_fract_y
_atom_site_fract_z
_atom_site_occupancy
Tb1 Tb 0.0000 0.0000 0.0000 1
Dy1 Dy 0.5000 0.5000 0.0000 1
Zr1 Zr 0.0000 0.5000 0.5000 1
```

***

Below is a geometry-optimized CaRe2Au structure, with properties calculated at the PBE-GGA level.

Energy relative to the lowest polymorph listed for this composition in eV/atom: 0.436
Total moment in μB per formula unit: 0.0

Geometry as CIF:
```
data_CaRe2Au
_cell_length_a 3.8681
_cell_length_b 3.8681
_cell_length_c 4.7793
_cell_angle_alpha 90.00
_cell_angle_beta 90.00
_cell_angle_gamma 90.00
_symmetry_space_group_name_H-M 'P 4/m m m'
_symmetry_Int_Tables_number 123
_symmetry_space_group_name_Hall '-P 4 2'
loop_
_atom_site_label
_atom_site_type_symbol
_atom_site_fract_x
_atom_site_fract_y
_atom_site_fract_z
_atom_site_occupancy
Ca1 Ca 0.0000 0.0000 0.0000 1
Re1 Re 0.0000 0.5000 0.5000 1
Au1 Au 0.5000 0.5000 0.0000 1
```

***

Below is a geometry-optimized Nd2Sm3DyTe6 structure, with properties calculated at the PBE-GGA level.

Raw formation energy in eV/atom: -1.379
Total moment in μB per formula unit: 0.0

Geometry as CIF:
```
data_Nd2Sm3DyTe6
_cell_length_a 19.3685
_cell_length_b 4.4228
_cell_length_c 8.9438
_cell_angle_alpha 90.00
_cell_angle_beta 102.93
_cell_angle_gamma 90.00
_symmetry_space_group_name_H-M 'C 1 2/m 1'
_symmetry_Int_Tables_number 12
loop_
_symmetry_equiv_pos_as_xyz
'x,y,z'
'-x,-y,-z'
'-x,y,-z'
'x,-y,z'
'x+1/2,y+1/2,z'
'-x+1/2,-y+1/2,-z'
'-x+1/2,y+1/2,-z'
'x+1/2,-y+1/2,z'
loop_
_atom_site_label
_atom_site_type_symbol
_atom_site_fract_x
_atom_site_fract_y
_atom_site_fract_z
_atom_site_occupancy
Nd1 Nd 0.1691 0.0000 0.3361 1
Sm1 Sm 0.0000 0.5000 0.5000 1
Sm2 Sm 0.1714 0.0000 0.8341 1
Dy1 Dy 0.0000 0.5000 0.0000 1
Te1 Te 0.0020 0.0000 0.7565 1
Te2 Te 0.1625 0.5000 0.0782 1
Te3 Te 0.1644 0.5000 0.5854 1
```

***

Below is a geometry-optimized CdIrNF2 structure, with properties calculated at the PBE-GGA level.

Energy relative to the lowest polymorph listed for this composition in eV/atom: 0.000
Raw formation energy in eV/atom: -0.327
Total moment in μB per formula unit: 0.0

Geometry as CIF:
```
data_CdIrNF2
_cell_length_a 4.4848
_cell_length_b 4.4848
_cell_length_c 3.7035
_cell_angle_alpha 90.00
_cell_angle_beta 90.00
_cell_angle_gamma 90.00
_symmetry_space_group_name_H-M 'P 4/m m m'
_symmetry_Int_Tables_number 123
_symmetry_space_group_name_Hall '-P 4 2'
loop_
_atom_site_label
_atom_site_type_symbol
_atom_site_fract_x
_atom_site_fract_y
_atom_site_fract_z
_atom_site_occupancy
Cd1 Cd 0.0000 0.0000 0.0000 1
Ir1 Ir 0.5000 0.5000 0.5000 1
N1 N 0.5000 0.5000 0.0000 1
F1 F 0.0000 0.5000 0.5000 1
```

***

Below is a geometry-optimized Ba3SnSb3 structure, with properties calculated at the PBE-GGA level.

Energy relative to the lowest polymorph listed for this composition in eV/atom: 0.064
Raw formation energy in eV/atom: -0.744
Total moment in μB per formula unit: 0.3

Geometry as CIF:
```
data_Ba3SnSb3
_cell_length_a 10.1845
_cell_length_b 10.1845
_cell_length_c 7.0603
_cell_angle_alpha 90.00
_cell_angle_beta 90.00
_cell_angle_gamma 120.00
_symmetry_space_group_name_H-M 'P 63/m'
_symmetry_Int_Tables_number 176
_symmetry_space_group_name_Hall '-P 6c'
loop_
_atom_site_label
_atom_site_type_symbol
_atom_site_fract_x
_atom_site_fract_y
_atom_site_fract_z
_atom_site_occupancy
Ba1 Ba 0.0760 0.6946 0.2500 1
Sn1 Sn 0.3333 0.6667 0.7500 1
Sb1 Sb 0.0776 0.7063 0.7500 1
```

***

Below is a geometry-optimized BaBe2Au2 structure, with properties calculated at the PBE-GGA level.

Energy relative to the lowest polymorph listed for this composition in eV/atom: 0.455
Total moment in μB per formula unit: 0.0

Geometry as CIF:
```
data_BaBe2Au2
_cell_length_a 8.0747
_cell_length_b 8.0747
_cell_length_c 3.1694
_cell_angle_alpha 90.00
_cell_angle_beta 90.00
_cell_angle_gamma 90.00
_symmetry_space_group_name_H-M 'P 4/m b m'
_symmetry_Int_Tables_number 127
_symmetry_space_group_name_Hall '-P 4 2ab'
loop_
_atom_site_label
_atom_site_type_symbol
_atom_site_fract_x
_atom_site_fract_y
_atom_site_fract_z
_atom_site_occupancy
Ba1 Ba 0.0000 0.0000 0.0000 1
Be1 Be 0.1078 0.3922 0.5000 1
Au1 Au 0.1271 0.6271 0.0000 1
```

***

Below is a geometry-optimized AgHg5S4 structure, with properties calculated at the PBE-GGA level.

Raw formation energy in eV/atom: 0.095
Total moment in μB per formula unit: 0.0

Geometry as CIF:
```
data_AgHg5S4
_cell_length_a 8.6597
_cell_length_b 8.9564
_cell_length_c 6.7385
_cell_angle_alpha 90.00
_cell_angle_beta 90.00
_cell_angle_gamma 90.00
_symmetry_space_group_name_H-M 'P m m n'
_symmetry_Int_Tables_number 59
loop_
_symmetry_equiv_pos_as_xyz
'x,y,z'
'-x,-y,-z'
'-x+1/2,-y+1/2,z'
'x+1/2,y+1/2,-z'
'x+1/2,-y,-z'
'-x+1/2,y,z'
'-x,y+1/2,-z'
'x,-y+1/2,z'
loop_
_atom_site_label
_atom_site_type_symbol
_atom_site_fract_x
_atom_site_fract_y
_atom_site_fract_z
_atom_site_occupancy
Ag1 Ag 0.2500 0.2500 0.2272 1
Hg1 Hg 0.0148 0.5587 0.2461 1
Hg2 Hg 0.2500 0.7500 0.7550 1
S1 S 0.0046 0.2500 0.4453 1
S2 S 0.2500 0.0020 0.9812 1
```

***

Below is a geometry-optimized AcGeRh structure, with properties calculated at the PBE-GGA level.

Energy relative to the lowest polymorph listed for this composition in eV/atom: 0.054
Total moment in μB per formula unit: 0.0

Geometry as CIF:
```
data_AcGeRh
_cell_length_a 4.3513
_cell_length_b 4.3513
_cell_length_c 4.4515
_cell_angle_alpha 90.00
_cell_angle_beta 90.00
_cell_angle_gamma 120.00
_symmetry_space_group_name_H-M 'P -6 m 2'
_symmetry_Int_Tables_number 187
_symmetry_space_group_name_Hall 'P -6 2'
loop_
_atom_site_label
_atom_site_type_symbol
_atom_site_fract_x
_atom_site_fract_y
_atom_site_fract_z
_atom_site_occupancy
Ac1 Ac 0.0000 0.0000 0.0000 1
Ge1 Ge 0.3333 0.6667 0.5000 1
Rh1 Rh 0.6667 0.3333 0.5000 1
```

***

Below is a geometry-optimized IrAu structure, with properties calculated at the PBE-GGA level.

Energy relative to the lowest polymorph listed for this composition in eV/atom: 0.244
Total moment in μB per formula unit: 0.0

Geometry as CIF:
```
data_IrAu
_cell_length_a 2.8051
_cell_length_b 4.8170
_cell_length_c 9.8236
_cell_angle_alpha 90.00
_cell_angle_beta 90.00
_cell_angle_gamma 90.00
_symmetry_space_group_name_H-M 'I m m a'
_symmetry_Int_Tables_number 74
_symmetry_space_group_name_Hall '-I 2b 2'
loop_
_atom_site_label
_atom_site_type_symbol
_atom_site_fract_x
_atom_site_fract_y
_atom_site_fract_z
_atom_site_occupancy
Ir1 Ir 0.0000 0.2500 0.1399 1
Au1 Au 0.0000 0.2500 0.6155 1
```

***

Below is a geometry-optimized SrTiO structure, with properties calculated at the PBE-GGA level.

Energy relative to the lowest polymorph listed for this composition in eV/atom: 0.127
Raw formation energy in eV/atom: -1.461
Total moment in μB per formula unit: 1.0

Geometry as CIF:
```
data_SrTiO
_cell_length_a 12.2336
_cell_length_b 3.4811
_cell_length_c 5.9656
_cell_angle_alpha 90.00
_cell_angle_beta 110.23
_cell_angle_gamma 90.00
_symmetry_space_group_name_H-M 'C 1 m 1'
_symmetry_Int_Tables_number 8
loop_
_symmetry_equiv_pos_as_xyz
'x,y,z'
'x,-y,z'
'x+1/2,y+1/2,z'
'x+1/2,-y+1/2,z'
loop_
_atom_site_label
_atom_site_type_symbol
_atom_site_fract_x
_atom_site_fract_y
_atom_site_fract_z
_atom_site_occupancy
Sr1 Sr 0.0000 0.0000 0.0000 1
Sr2 Sr 0.2089 0.0000 0.6824 1
Ti1 Ti 0.2889 0.5000 0.2471 1
Ti2 Ti 0.4593 0.0000 0.4639 1
O1 O 0.0786 0.5000 0.7757 1
O2 O 0.3571 0.0000 0.1072 1
```